(1)
The following is a PBE calculation of a geometry-optimized MnRuBr2 structure, from Alexandria.

The structure belongs to space group P4mm (No. 99); the cell edges are 3.4533, 3.4533 and 7.5303 Å and the angles 90.00°, 90.00° and 90.00°. Symmetry generates all atoms from Mn at (0.0000, 0.0000, 0.0000), Ru at (0.5000, 0.5000, 0.1383), Br at (0.0000, 0.0000, 0.3522) and Br at (0.5000, 0.5000, 0.8024).

The density of states at the Fermi level is 2.35 states/eV/cell. For the formation energy without anion corrections, the calculation gives 0.216 eV per atom. As for the energy relative to the lowest polymorph listed for this composition: 0.145 eV per atom.



(2)
The following is a PBE calculation of a geometry-optimized Mn3RuBr structure, from Alexandria.

The structure belongs to space group Pm-3m (No. 221); the cell edges are 4.8459, 4.8459 and 4.8459 Å and the angles 90.00°, 90.00° and 90.00°. Symmetry generates all atoms from Mn at (0.0000, 0.0000, 0.5000), Ru at (0.0000, 0.0000, 0.0000) and Br at (0.5000, 0.5000, 0.5000).

The density of states at the Fermi level is 6.09 states/eV/cell. For the formation energy without anion corrections, the calculation gives 0.975 eV per atom. As for the energy relative to the lowest polymorph listed for this composition: 0.000 eV per atom.



(3)
The following is a PBE calculation of a geometry-optimized MnRu4Br structure, from Alexandria.

The structure belongs to space group F-43m (No. 216); the cell edges are 7.3479, 7.3479 and 7.3479 Å and the angles 90.00°, 90.00° and 90.00°. Symmetry generates all atoms from Mn at (0.0000, 0.0000, 0.0000), Ru at (0.1249, 0.1249, 0.3751) and Br at (0.2500, 0.2500, 0.7500).

The density of states at the Fermi level is 30.76 states/eV/cell. For the formation energy without anion corrections, the calculation gives 0.955 eV per atom.



(4)
The following is a PBE calculation of a geometry-optimized Mn2RuBr structure, from Alexandria.

The structure belongs to space group R-3m (No. 166, hexagonal axes); the cell edges are 3.1603, 3.1603 and 23.7210 Å and the angles 90.00°, 90.00° and 120.00°. Symmetry generates all atoms from Mn at (0.0000, 0.0000, 0.2448), Ru at (0.0000, 0.0000, 0.5000) and Br at (0.0000, 0.0000, 0.0000).

The density of states at the Fermi level is 10.41 states/eV/cell. For the formation energy without anion corrections, the calculation gives 0.365 eV per atom. As for the energy relative to the lowest polymorph listed for this composition: 0.120 eV per atom.



(5)
The following is a PBE calculation of a geometry-optimized MnRuBr2 structure, from Alexandria.

The structure belongs to space group Cmmm (No. 65); the cell edges are 3.3248, 6.1701 and 8.3005 Å and the angles 90.00°, 90.00° and 90.00°. Symmetry generates all atoms from Mn at (0.0000, 0.0000, 0.0000), Ru at (0.0000, 0.0000, 0.5000) and Br at (0.0000, 0.5000, 0.2455).

The density of states at the Fermi level is 7.97 states/eV/cell. For the formation energy without anion corrections, the calculation gives 0.667 eV per atom. As for the energy relative to the lowest polymorph listed for this composition: 0.596 eV per atom.



(6)
The following is a PBE calculation of a geometry-optimized MnRuBr2 structure, from Alexandria.

The structure belongs to space group R-3m (No. 166, hexagonal axes); the cell edges are 3.2592, 3.2592 and 24.4764 Å and the angles 90.00°, 90.00° and 120.00°. Symmetry generates all atoms from Mn at (0.0000, 0.0000, 0.0000), Ru at (0.0000, 0.0000, 0.5000) and Br at (0.0000, 0.0000, 0.0925).

The density of states at the Fermi level is 21.94 states/eV/cell. For the formation energy without anion corrections, the calculation gives 1.032 eV per atom. As for the energy relative to the lowest polymorph listed for this composition: 0.961 eV per atom.



Question: Which value of formation energy without anion corrections does entry 5 give?
Answer: 0.667 eV per atom